Ca3Co2W2O12 | GGA+U | relaxed

a b c (Å): 5.3930 5.5050 7.8119
angles (deg): 90.64 90.36 92.01
With the nearest neighbours (Å) after each atom.
Space group P1 (No. 1)
Unique sites:
Ca (0.0000, 0.0000, 0.0000) x1  7 O 2.33-2.59
Ca (0.0085, 0.9096, 0.4970) x1  5 O 2.35-2.57
Ca (0.5203, 0.5111, 0.9972) x1  6 O 2.35-2.53
Co (0.0154, 0.4630, 0.2526) x1  3 O 1.83-2.04
Co (0.5059, 0.9652, 0.7485) x1  4 O 1.87-2.07
W (0.0095, 0.4536, 0.7403) x1  6 O 1.87-2.04
W (0.5053, 0.9748, 0.2565) x1  6 O 1.89-2.03
O (0.0883, 0.4363, 0.9919) x1  1 W 2.01, 1 Co 2.08
O (0.1835, 0.1540, 0.7178) x1  1 W 1.93, 1 Co 2.07
O (0.2030, 0.1480, 0.2802) x1  1 W 1.93, 1 Co 2.05
O (0.2796, 0.6752, 0.2867) x1  1 Co 1.83, 1 W 2.03
O (0.2907, 0.6716, 0.7167) x1  1 W 1.91, 1 Co 1.97
O (0.4241, 0.9330, 0.0088) x1  1 W 1.99, 1 Co 2.09
O (0.5808, 0.9796, 0.4927) x1  1 W 1.89, 1 Co 2.04
O (0.7105, 0.2364, 0.8011) x1  1 Co 1.87, 1 W 2.04
O (0.7141, 0.2506, 0.1990) x1  1 W 1.92, 1 Co 2.01
O (0.7815, 0.7595, 0.2106) x1  1 W 1.97, 1 Co 2.12
O (0.7999, 0.7311, 0.7949) x1  1 W 1.98, 1 Co 2.11
O (0.9313, 0.4681, 0.5071) x1  1 W 1.87, 1 Co 2.04

Computed properties:
Electronic total energy: -129.93 eV/cell